Entry 1:
The following is a DFT calculation (PBEsol) of a relaxed structure of SiSbOs2.

SG: No. 123
Formation energy (no corrections) in eV per formula unit: 1.183

```
SiSbOs2
1.0
3.133 0.000 0.000
0.000 4.378 0.000
0.000 0.000 4.378
Os Sb Si
2 1 1
Direct
0.000 0.000 0.500
0.000 0.500 0.000
0.500 0.500 0.500
0.500 0.000 0.000
```



Entry 2:
The following is a DFT calculation (PBEsol) of a relaxed structure of TbCd.

Energy of formation in kcal/mol of atoms: -7.77
SG: No. 221

```
TbCd
1.0
-2.044 -0.616 3.007
-2.419 -1.900 -2.033
1.889 -3.100 0.649
Tb Cd
1 1
Direct
0.000 0.000 0.000
0.500 0.500 0.500
```



Entry 3:
The following is a DFT calculation (PBEsol) of a relaxed structure of Sc2Os.

Energy of formation in kcal/mol of atoms: -7.01
SG: No. 63

```
Sc2Os
1.0
3.273 0.000 0.000
0.000 4.727 0.000
-1.636 0.000 7.155
Sc Os
4 2
Direct
0.572 0.750 0.145
0.428 0.250 0.855
0.281 0.750 0.562
0.719 0.250 0.438
0.922 0.750 0.844
0.078 0.250 0.156
```



Entry 4:
The following is a DFT calculation (PBEsol) of a relaxed structure of CuSe3O.

SG: No. 221
Formation energy (no corrections) in eV per formula unit: 4.852

```
CuSe3O
1.0
-3.914 -1.250 -2.167
-0.343 -3.718 2.763
-2.478 2.488 3.040
O Cu Se
1 1 3
Direct
0.500 0.500 0.500
0.000 0.000 0.000
0.000 0.500 0.000
0.000 0.000 0.500
0.500 0.000 0.000
```



Entry 5:
The following is a DFT calculation (PBEsol) of a relaxed structure of Cd2FeSb.

SG: No. 123
Formation energy (no corrections) in eV per formula unit: 1.508

```
Cd2FeSb
1.0
-2.776 1.822 -2.284
-1.370 -3.593 -1.202
-3.031 -0.060 3.635
Cd Fe Sb
2 1 1
Direct
0.000 0.000 0.000
0.500 0.500 0.000
0.500 0.000 0.500
0.000 0.500 0.500
```



Entry 6:
The following is a DFT calculation (PBEsol) of a relaxed structure of IrRu2.

Energy of formation in kcal/mol of atoms: -1.26
SG: No. 62

```
IrRu2
1.0
4.276 0.000 0.000
0.000 4.683 0.000
0.000 0.000 8.112
Ir Ru
4 8
Direct
0.750 0.833 0.166
0.250 0.667 0.666
0.750 0.333 0.334
0.250 0.167 0.834
0.750 0.832 0.834
0.750 0.834 0.500
0.250 0.666 0.000
0.250 0.668 0.334
0.750 0.332 0.666
0.750 0.334 0.000
0.250 0.166 0.500
0.250 0.168 0.166
```



no.,N(E_F) (states/eV/f.u.),energy (eV for the cell shown)
1,1.69,-33.55
2,2.76,-6.88
3,2.08,-52.67
4,5.29,-16.28
5,4.65,-14.41
6,2.30,-121.33